Material: VOF
Method: DFT, PBE+U
State: optimized geometry

calculated total energy: -21.465 eV/f.u.

a = 3.0990 Å, b = 4.7452 Å, c = 19.0072 Å
α = 86.29°, β = 90.00°, γ = 90.00°
Last column: magnetic moment on the atom in μB.
Fractional coordinates of all 24 atoms:
V (0.0000, 0.9490, 0.9993)  -1.97
V (0.0000, 0.0255, 0.7504)  -2.04
V (0.5000, 0.4954, 0.3751)  -1.89
V (0.0000, 0.0054, 0.5001)  -2.03
V (0.5000, 0.4723, 0.1247)  -1.90
V (0.0000, 0.9840, 0.2500)  -2.03
V (0.5000, 0.5522, 0.8746)  -1.98
V (0.5000, 0.5162, 0.6253)  -1.89
O (0.0000, 0.2749, 0.1743)  0.07
O (0.0000, 0.3217, 0.6761)  0.07
O (0.0000, 0.7109, 0.5753)  0.07
O (0.0000, 0.2983, 0.4252)  0.07
O (0.0000, 0.6924, 0.3258)  0.07
O (0.5000, 0.7943, 0.9500)  0.08
O (0.0000, 0.7233, 0.8236)  0.07
O (0.0000, 0.6777, 0.0767)  0.07
F (0.5000, 0.1860, 0.2986)  0.00
F (0.0000, 0.3009, 0.9233)  0.00
F (0.5000, 0.7795, 0.2025)  0.00
F (0.5000, 0.2196, 0.8014)  0.00
F (0.5000, 0.8287, 0.7010)  0.00
F (0.5000, 0.8052, 0.4515)  0.00
F (0.5000, 0.2050, 0.5494)  0.00
F (0.5000, 0.1815, 0.0456)  -0.01